A plane-wave DFT calculation with PBE was carried out for an optimized crystal structure of BeNiTeI2.

Energy relative to the elements, uncorrected in kJ per mole of atoms: 72
E above lowest polymorph in meV/atom: 0

Lattice parameters (Å, degrees): 5.2559 5.2559 5.0935 90.00 90.00 90.00
Last column: nearest neighbours and their distance in Å.
Fractional positions:
1 I 0.0000 0.5000 0.0000  2 Ni 2.63
2 I 0.5000 0.0000 0.0000  2 Ni 2.63
3 Be 0.5000 0.5000 0.5000  8 I 3.66, 4 Te 3.72
4 Ni 0.0000 0.0000 0.0000  2 Te 2.55, 4 I 2.63
5 Te 0.0000 0.0000 0.5000  2 Ni 2.55

=====

A plane-wave DFT calculation with PBE was carried out for an optimized crystal structure of CoRu2W.

E above lowest polymorph in meV/atom: 118
Formation energy from the elements in eV/atom: 0.093

Lattice parameters (Å, degrees): 4.5721 4.5721 4.7029 80.72 80.72 34.60
Last column: nearest neighbours and their distance in Å.
Fractional positions:
1 Ru 0.9958 0.9958 0.0200  6 Ru 2.57-2.87, 3 Co 2.62-2.63, 3 W 2.67-2.73
2 Co 0.2500 0.2500 0.2500  6 Ru 2.62-2.63, 4 W 2.72, 2 Co 2.72
3 Ru 0.5042 0.5042 0.4800  6 Ru 2.57-2.87, 3 Co 2.62-2.63, 3 W 2.67-2.73
4 W 0.7500 0.7500 0.7500  6 Ru 2.67-2.73, 4 Co 2.72, 2 W 2.72

=====

A plane-wave DFT calculation with PBE was carried out for an optimized crystal structure of DyTmGa2Ni2.

Formation energy from the elements in eV/atom: -0.617

Lattice parameters (Å, degrees): 4.2640 4.2640 6.9773 90.00 90.00 120.00
Last column: nearest neighbours and their distance in Å.
Fractional positions:
1 Ni 0.3333 0.6667 0.7377  3 Ga 2.46
2 Tm 0.0000 0.0000 0.5000  6 Ni 2.97, 6 Ga 2.98
3 Ni 0.6667 0.3333 0.2623  3 Ga 2.46
4 Dy 0.0000 0.0000 0.0000  6 Ga 3.05, 6 Ni 3.07
5 Ga 0.6667 0.3333 0.7418  3 Ni 2.46
6 Ga 0.3333 0.6667 0.2582  3 Ni 2.46

=====

A plane-wave DFT calculation with PBE was carried out for an optimized crystal structure of CaBe4Cd.

Formation energy from the elements in eV/atom: 0.280

Lattice parameters (Å, degrees): 4.9009 4.9009 4.9009 60.00 60.00 60.00
Last column: nearest neighbours and their distance in Å.
Fractional positions:
1 Ca 0.7500 0.7500 0.7500  12 Be 2.87, 4 Cd 3.00
2 Be 0.3778 0.8667 0.3778  6 Be 2.40-2.50
3 Cd 0.0000 0.0000 0.0000  12 Be 2.88, 4 Ca 3.00
4 Be 0.8667 0.3778 0.3778  6 Be 2.40-2.50
5 Be 0.3778 0.3778 0.8667  6 Be 2.40-2.50
6 Be 0.3778 0.3778 0.3778  6 Be 2.40-2.50

=====

A plane-wave DFT calculation with PBE was carried out for an optimized crystal structure of Ce2HgN.

Energy relative to the elements, uncorrected in kJ per mole of atoms: -56
E above lowest polymorph in meV/atom: 320

Lattice parameters (Å, degrees): 3.1009 3.1009 8.0460 90.00 90.00 90.00
Last column: nearest neighbours and their distance in Å.
Fractional positions:
1 Ce 0.0000 0.0000 0.1806  4 N 2.63, 1 Ce 2.91
2 N 0.5000 0.5000 0.0000  8 Ce 2.63
3 Ce 0.0000 0.0000 0.8194  4 N 2.63, 1 Ce 2.91
4 Hg 0.5000 0.5000 0.5000  4 Hg 3.10, 8 Ce 3.38

=====

A plane-wave DFT calculation with PBE was carried out for an optimized crystal structure of Yb2Ga9Ir3.

Formation energy from the elements in eV/atom: -0.607

Lattice parameters (Å, degrees): 7.5452 7.5452 9.6366 90.00 90.00 119.63
Last column: nearest neighbours and their distance in Å.
Fractional positions:
1 Ir 0.0000 0.0000 0.5000  8 Ga 2.60-2.63
2 Ga 0.0008 0.3350 0.4218  3 Ir 2.58-2.63, 3 Ga 2.75-2.87
3 Ga 0.8711 0.8711 0.7500  2 Ir 2.60, 6 Ga 2.74-2.75
4 Ga 0.6650 0.9992 0.5782  3 Ir 2.58-2.63, 3 Ga 2.75-2.87
5 Ga 0.9992 0.6650 0.9218  3 Ir 2.58-2.63, 3 Ga 2.75-2.87
6 Ga 0.3350 0.0008 0.0782  3 Ir 2.58-2.63, 3 Ga 2.75-2.87
7 Ga 0.0008 0.3350 0.0782  3 Ir 2.58-2.63, 3 Ga 2.75-2.87
8 Ga 0.6625 0.4532 0.7500  2 Ir 2.60, 6 Ga 2.73-2.82
9 Ir 0.6712 0.3288 0.0000  8 Ga 2.58-2.64
10 Ga 0.5468 0.3375 0.2500  2 Ir 2.60, 6 Ga 2.73-2.82
11 Ir 0.3288 0.6712 0.0000  8 Ga 2.58-2.64
12 Ga 0.3350 0.0008 0.4218  3 Ir 2.58-2.63, 3 Ga 2.75-2.87
13 Yb 0.6698 0.9979 0.2500  11 Ga 3.03-3.16
14 Ga 0.9992 0.6650 0.5782  3 Ir 2.58-2.63, 3 Ga 2.75-2.87
15 Ga 0.3375 0.5468 0.2500  2 Ir 2.60, 6 Ga 2.73-2.82
16 Ga 0.6650 0.9992 0.9218  3 Ir 2.58-2.63, 3 Ga 2.75-2.87
17 Ga 0.3332 0.3332 0.5645  3 Ir 2.60-2.64, 5 Ga 2.82-2.87
18 Ga 0.3332 0.3332 0.9355  3 Ir 2.60-2.64, 5 Ga 2.82-2.87
19 Ga 0.6669 0.6669 0.4355  3 Ir 2.60-2.64, 5 Ga 2.82-2.87
20 Ga 0.6669 0.6669 0.0645  3 Ir 2.60-2.64, 5 Ga 2.82-2.87
21 Ir 0.0000 0.0000 0.0000  8 Ga 2.60-2.63
22 Ga 0.4532 0.6625 0.7500  2 Ir 2.60, 6 Ga 2.73-2.82
23 Yb 0.3302 0.0021 0.7500  11 Ga 3.03-3.16
24 Ga 0.1289 0.1289 0.2500  2 Ir 2.60, 6 Ga 2.74-2.75
25 Ir 0.6712 0.3288 0.5000  8 Ga 2.58-2.64
26 Yb 0.9979 0.6698 0.2500  11 Ga 3.03-3.16
27 Ir 0.3288 0.6712 0.5000  8 Ga 2.58-2.64
28 Yb 0.0021 0.3302 0.7500  11 Ga 3.03-3.16

=====

Total magnetization, record by record: 0.00; 0.19; 0.00; 0.00; 0.16; 0.02 μB/atom